The following is a PBE calculation of an optimized crystal structure of ZrSnRh, from Alexandria via LeMat-Bulk.

Results
**M_tot**: 0.00 μB per formula unit
**Space-group type**: No. 107
**Raw total energy**: -21.6 eV per cell
**Fermi-level density of states**: 2.5 states/eV per cell

abc: 3.2465 3.2465 5.8810
angles: 106.02 106.02 90.00
Atoms (fractional coordinates):
Rh: 0.9454 0.9454 0.8909
Sn: 0.2983 0.2983 0.5965
Zr: 0.6063 0.6063 0.2126



The following is a PBE calculation of an optimized crystal structure of Ac2PrBi3, from Alexandria via LeMat-Bulk.

Results
**M_tot**: 0.00 μB per formula unit
**Excess energy over the best structure of this formula in the dataset**: 0.0000 eV per atom
**Space-group type**: No. 71
**Fermi-level density of states**: 0.8 states/eV per cell

abc: 4.8047 6.7986 8.3171
angles: 114.12 106.79 90.00
Atoms (fractional coordinates):
Ac: 0.8321 0.8321 0.1642
Bi: 0.1600 0.6600 0.8199
Ac: 0.1679 0.1679 0.8358
Pr: 0.5000 0.5000 0.5000
Bi: 0.5000 0.0000 0.5000
Bi: 0.8400 0.3400 0.1801



The following is a PBE calculation of an optimized crystal structure of La2Si2N5, from Alexandria via LeMat-Bulk.

Results
**M_tot**: 0.35 μB per formula unit
**Space-group type**: No. 12
**Fermi-level density of states**: 6.8 states/eV per cell
**Formation energy without anion corrections**: -910 meV per atom

abc: 3.8403 5.4790 5.9750
angles: 101.62 90.00 110.52
Atoms (fractional coordinates):
N: 0.1455 0.2910 0.6015
N: 0.6771 0.3541 0.9399
Si: 0.1524 0.3048 0.8957
N: 0.3229 0.6459 0.0601
La: 0.3972 0.7944 0.6793
N: 0.0000 0.0000 0.0000
La: 0.6028 0.2056 0.3207
N: 0.8545 0.7090 0.3985
Si: 0.8476 0.6952 0.1043



The following is a PBE calculation of an optimized crystal structure of ZnAsRh2, from Alexandria via LeMat-Bulk.

Results
**M_tot**: 0.00 μB per formula unit
**Excess energy over the best structure of this formula in the dataset**: 0.0206 eV per atom
**Space-group type**: No. 8
**Fermi-level density of states**: 3.0 states/eV per cell

abc: 4.8369 4.8369 4.3582
angles: 76.53 76.53 35.99
Atoms (fractional coordinates):
Rh: 0.7585 0.7585 0.6753
Zn: 0.4997 0.4997 0.5673
Rh: 0.9872 0.9872 0.0729
As: 0.2546 0.2546 0.1845



The following is a PBE calculation of an optimized crystal structure of TaIrPt2, from Alexandria via LeMat-Bulk.

Results
**M_tot**: 0.00 μB per formula unit
**Excess energy over the best structure of this formula in the dataset**: 0.2965 eV per atom
**Space-group type**: No. 216
**Fermi-level density of states**: 2.3 states/eV per cell

abc: 4.4947 4.4947 4.4947
angles: 60.00 60.00 60.00
Atoms (fractional coordinates):
Ta: 0.7500 0.7500 0.7500
Pt: 0.0000 0.0000 0.0000
Ir: 0.5000 0.5000 0.5000
Pt: 0.2500 0.2500 0.2500



The following is a PBE calculation of an optimized crystal structure of Ac5Rh2, from Alexandria via LeMat-Bulk.

Results
**M_tot**: 0.00 μB per formula unit
**Space-group type**: No. 15
**Raw total energy**: -77.1 eV per cell
**Fermi-level density of states**: 14.9 states/eV per cell

abc: 6.9325 7.7411 9.7467
angles: 96.44 110.83 90.00
Atoms (fractional coordinates):
Rh: 0.1950 0.4162 0.7796
Ac: 0.2155 0.6828 0.5768
Ac: 0.5716 0.2500 0.0000
Ac: 0.0067 0.9155 0.1923
Ac: 0.8144 0.5845 0.8077
Ac: 0.1856 0.4155 0.1923
Rh: 0.4155 0.0838 0.2204
Ac: 0.9933 0.0845 0.8077
Ac: 0.7845 0.3172 0.4232
Ac: 0.6387 0.8172 0.4232
Ac: 0.3613 0.1828 0.5768
Ac: 0.4284 0.7500 0.0000
Rh: 0.5845 0.9162 0.7796
Rh: 0.8050 0.5838 0.2204



> Look up the M_tot of the fifth one.

0.00 μB per formula unit



> Which formula does entry 3 have?

La2Si2N5